[1]
A geometry-optimized Th3FeSi structure. Source: the Alexandria database, functional PBE-GGA.

Unit cell a=7.8028 b=7.8028 c=8.2539 alpha=90.59 beta=90.59 gamma=29.57
Element x y z (fractional)
Th (0.0387, 0.0387, 0.3046)
Th (0.2499, 0.2499, 0.6895)
Th (0.3875, 0.3875, 0.0460)
Th (0.6125, 0.6125, 0.9540)
Th (0.7501, 0.7501, 0.3105)
Th (0.9613, 0.9613, 0.6954)
Fe (0.2045, 0.2045, 0.0840)
Fe (0.7955, 0.7955, 0.9160)
Si (0.3960, 0.3960, 0.4311)
Si (0.6040, 0.6040, 0.5689)

Values from the calculation:
Size of the total moment in μB per atom: 0.00
Space-group type: C2/m, No. 12
DOS(E_F) in states/eV/cell: 10.448
Raw formation energy in eV/atom: -0.293

***

[2]
A geometry-optimized Th2FeSi3 structure. Source: the Alexandria database, functional PBE-GGA.

Unit cell a=7.6336 b=7.6336 c=7.6336 alpha=149.35 beta=148.06 gamma=44.85
Element x y z (fractional)
Th (0.0000, 0.0000, 0.0000)
Th (0.7477, 0.2477, 0.5000)
Fe (0.1581, 0.6581, 0.5000)
Si (0.3202, 0.8202, 0.5000)
Si (0.4138, 0.4138, 0.0000)
Si (0.5852, 0.5852, 0.0000)

Values from the calculation:
Size of the total moment in μB per atom: 0.14
Space-group type: Imm2, No. 44
DOS(E_F) in states/eV/cell: 4.336
ΔE to the lowest computed polymorph in eV per atom: 0.0384
Raw formation energy in eV/atom: -0.676

***

[3]
A geometry-optimized Th2Fe12Si7 structure. Source: the Alexandria database, functional PBE-GGA.

Unit cell a=9.2089 b=9.2089 c=3.7904 alpha=90.00 beta=90.00 gamma=120.00
Element x y z (fractional)
Th (0.0000, 0.0000, 0.0000)
Th (0.3333, 0.6667, 0.5000)
Fe (0.0521, 0.2908, 0.5000)
Fe (0.1115, 0.7332, 0.0000)
Fe (0.2387, 0.9479, 0.5000)
Fe (0.2668, 0.3783, 0.0000)
Fe (0.3888, 0.1893, 0.0000)
Fe (0.5617, 0.1249, 0.5000)
Fe (0.5632, 0.4383, 0.5000)
Fe (0.6217, 0.8885, 0.0000)
Fe (0.7092, 0.7613, 0.5000)
Fe (0.8004, 0.6112, 0.0000)
Fe (0.8107, 0.1996, 0.0000)
Fe (0.8751, 0.4368, 0.5000)
Si (0.0484, 0.4494, 0.0000)
Si (0.2779, 0.2305, 0.5000)
Si (0.4010, 0.9516, 0.0000)
Si (0.5506, 0.5990, 0.0000)
Si (0.6667, 0.3333, 0.0000)
Si (0.7695, 0.0474, 0.5000)
Si (0.9526, 0.7221, 0.5000)

Values from the calculation:
Size of the total moment in μB per atom: 0.49
Space-group type: P-6, No. 174
DOS(E_F) in states/eV/cell: 19.289
Raw formation energy in eV/atom: -0.407